# 1
DFT (PBE) results for Re2MoCl after structural relaxation.

Values from the calculation:
**Volume**: 14.80 Å³ per atom
**Formation energy from raw total energies**: 0.66 eV/atom
**E above lowest polymorph**: 412 meV per atom
**Magnetization**: 0.00 μB per formula unit

```
Re2MoCl
1.0
-1.441 2.247 4.573
1.441 -2.247 4.573
1.441 2.247 -4.573
Re Mo Cl
2 1 1
direct
0.230 0.230 0.000
0.770 0.770 0.000
0.500 0.000 0.500
0.000 0.500 0.500
```

=====

# 2
DFT (PBE) results for Np4HgPd12 after structural relaxation.

Values from the calculation:
**Volume**: 18.82 Å³ per atom
**Formation enthalpy at 0 K**: -314 meV per atom
**Magnetization**: 15.34 μB per formula unit

```
Np4HgPd12
1.0
-4.309 4.309 4.309
4.309 -4.309 4.309
4.309 4.309 -4.309
Np Hg Pd
4 1 12
direct
0.000 0.000 0.500
0.000 0.500 0.000
0.500 0.000 0.000
0.500 0.500 0.500
0.000 0.000 0.000
0.000 0.305 0.305
0.000 0.695 0.695
0.250 0.500 0.750
0.250 0.750 0.500
0.305 0.000 0.305
0.305 0.305 0.000
0.500 0.250 0.750
0.500 0.750 0.250
0.695 0.000 0.695
0.695 0.695 0.000
0.750 0.250 0.500
0.750 0.500 0.250
```

=====

| no. | N(E_F) (states/eV/atom) | density (g cm⁻³) |
| --- | --- | --- |
| 1 | 0.62 | 14.1 |
| 2 | 2.00 | 12.6 |